No. 1
The following is a DFT calculation (GGA-PBE) of crystalline Pa3Ni2B9 at its relaxed geometry.

POSCAR file:
```
Pa3Ni2B9
1.0
-2.359 -0.143 2.031
3.792 0.128 6.805
0.966 6.629 3.978
Pa Ni B
3 2 9
direct
0.000 0.000 0.000
0.730 0.270 0.270
0.270 0.730 0.730
0.500 0.336 0.664
0.500 0.664 0.336
0.000 0.500 0.500
0.633 0.054 0.680
0.367 0.946 0.320
0.633 0.680 0.054
0.367 0.320 0.946
0.873 0.856 0.398
0.127 0.144 0.602
0.873 0.398 0.856
0.127 0.602 0.144
```

---

No. 2
The following is a DFT calculation (GGA-PBE) of crystalline PaNi3B2 at its relaxed geometry.

POSCAR file:
```
PaNi3B2
1.0
-1.584 2.368 2.010
-4.123 -0.540 -5.635
-1.070 -4.522 4.484
Pa Ni B
2 6 4
direct
0.843 0.686 0.931
0.157 0.314 0.069
0.319 0.638 0.565
0.958 0.916 0.649
0.593 0.186 0.686
0.407 0.814 0.314
0.042 0.084 0.351
0.681 0.362 0.435
0.481 0.963 0.848
0.519 0.037 0.152
0.816 0.632 0.343
0.184 0.368 0.657
```

---

No. 3
The following is a DFT calculation (GGA-PBE) of crystalline PaNi4B2 at its relaxed geometry.

POSCAR file:
```
PaNi4B2
1.0
-3.632 -0.381 0.195
0.333 -1.491 3.279
-0.606 6.247 0.907
Pa Ni B
1 4 2
direct
0.000 0.000 0.000
0.500 0.823 0.646
0.000 0.673 0.346
0.500 0.177 0.354
0.000 0.327 0.654
0.500 0.590 0.180
0.500 0.410 0.820
```

---

Number 1: E -104.8 eV per cell. Number 2: E -85.3 eV per cell. Number 3: E -48.6 eV per cell.